Below is crystalline BaSrAs2 at its relaxed geometry, with properties calculated at the PBE-GGA level.

Results
DOS(E_F) in states/eV/atom: 0.653
E above lowest polymorph in eV per atom: 0.680
Total DFT energy (no corrections) in eV/f.u.: -14.09
Energy relative to the elements in eV per atom: -0.30
Symmetry: F-43m, No. 216

abc: 5.4629 5.4629 5.4629
angles: 60.00 60.00 60.00
Closest atoms and distances in Å follow each position.
Positions (direct):
Ba  0.0000  0.0000  0.0000  4 As 3.35, 4 Sr 3.35
Sr  0.2500  0.2500  0.2500  4 As 3.35, 4 Ba 3.35
As  0.5000  0.5000  0.5000  4 Sr 3.35, 4 As 3.35
As  0.7500  0.7500  0.7500  4 As 3.35, 4 Ba 3.35

***

Below is crystalline K2MgInBr5 at its relaxed geometry, with properties calculated at the PBE-GGA level.

Results
DOS(E_F) in states/eV/atom: 0.000
Total DFT energy (no corrections) in eV/f.u.: -27.18
Symmetry: Cmc2_1, No. 36
Energy relative to the elements, uncorrected in eV/atom: -1.366

abc: 9.8680 9.8680 15.6256
angles: 90.00 90.00 155.15
Closest atoms and distances in Å follow each position.
Positions (direct):
K  0.0670  0.9330  0.5000  6 Br 3.21-3.56
K  0.1370  0.8630  0.1607  6 Br 3.32-3.66
K  0.8630  0.1370  0.6607  6 Br 3.32-3.66
K  0.9330  0.0670  0.0000  6 Br 3.21-3.56
Mg  0.2452  0.7548  0.9013  6 Br 2.64-2.84
Mg  0.7548  0.2452  0.4013  6 Br 2.64-2.84
In  0.4395  0.5605  0.3076  4 Br 3.09-3.18
In  0.5605  0.4395  0.8076  4 Br 3.09-3.18
Br  0.1117  0.8883  0.9426  1 Mg 2.65
Br  0.2364  0.7636  0.5163  2 Mg 2.80
Br  0.2803  0.7197  0.2845  2 Mg 2.84, 1 In 3.09
Br  0.3758  0.6242  0.8507  1 Mg 2.64
Br  0.4916  0.5084  0.6230  1 In 3.18, 4 K 3.21-3.32
Br  0.5084  0.4916  0.1230  1 In 3.18, 4 K 3.21-3.32
Br  0.6242  0.3758  0.3507  1 Mg 2.64
Br  0.7197  0.2803  0.7845  2 Mg 2.84, 1 In 3.09
Br  0.7636  0.2364  0.0163  2 Mg 2.80
Br  0.8883  0.1117  0.4426  1 Mg 2.65

***

Below is crystalline SnNF2 at its relaxed geometry, with properties calculated at the PBE-GGA level.

Results
DOS(E_F) in states/eV/atom: 0.334
E above lowest polymorph in eV per atom: 0.584
Total DFT energy (no corrections) in eV/f.u.: -17.61
Symmetry: I-42d, No. 122
Energy relative to the elements, uncorrected in eV/atom: -0.385

abc: 8.1411 8.1411 8.1411
angles: 155.78 155.78 34.52
Closest atoms and distances in Å follow each position.
Positions (direct):
Sn  0.0000  0.0000  0.0000  4 F 2.26, 4 N 2.42
Sn  0.7500  0.2500  0.5000  4 F 2.26, 4 N 2.42
N  0.2500  0.7500  0.5000  4 F 2.31, 4 Sn 2.42
N  0.5000  0.5000  0.0000  4 F 2.31, 4 Sn 2.42
F  0.1053  0.6250  0.9803  2 Sn 2.26, 2 N 2.31, 4 F 2.32-2.51
F  0.3750  0.3553  0.4803  2 Sn 2.26, 2 N 2.31, 4 F 2.32-2.51
F  0.6447  0.1250  0.0197  2 Sn 2.26, 2 N 2.31, 4 F 2.32-2.51
F  0.8750  0.8947  0.5197  2 Sn 2.26, 2 N 2.31, 4 F 2.32-2.51

***

Below is crystalline K5AsCl2O4 at its relaxed geometry, with properties calculated at the PBE-GGA level.

Results
DOS(E_F) in states/eV/atom: 0.000
Total DFT energy (no corrections) in eV/f.u.: -54.34
Symmetry: Amm2, No. 38
Energy relative to the elements, uncorrected in eV/atom: -1.723

abc: 8.3776 6.0420 6.0420
angles: 113.61 90.00 90.00
Closest atoms and distances in Å follow each position.
Positions (direct):
K  0.0000  0.0000  0.0000  2 O 2.84, 2 Cl 3.01
K  0.2946  0.2213  0.5872  3 O 2.67-2.94
K  0.2946  0.5872  0.2213  3 O 2.67-2.94
K  0.7054  0.2213  0.5872  3 O 2.67-2.94
K  0.7054  0.5872  0.2213  3 O 2.67-2.94
As  0.5000  0.9138  0.9138  4 O 1.74-1.75
Cl  0.0000  0.4634  0.8654  6 K 3.01-3.21
Cl  0.0000  0.8654  0.4634  6 K 3.01-3.21
O  0.3340  0.0735  0.0735  1 As 1.75
O  0.5000  0.6199  0.8975  1 As 1.74
O  0.5000  0.8975  0.6199  1 As 1.74
O  0.6660  0.0735  0.0735  1 As 1.75

***

Below is crystalline Pa2ZnGa9 at its relaxed geometry, with properties calculated at the PBE-GGA level.

Results
DOS(E_F) in states/eV/atom: 0.948
Total DFT energy (no corrections) in eV/f.u.: -49.95
Energy relative to the elements in eV per atom: -0.20
Symmetry: P4/mmm, No. 123

abc: 4.2820 4.2820 12.4636
angles: 90.00 90.00 90.00
Closest atoms and distances in Å follow each position.
Positions (direct):
Pa  0.0000  0.0000  0.1717  12 Ga 3.03-3.08
Pa  0.0000  0.0000  0.8283  12 Ga 3.03-3.08
Zn  0.0000  0.0000  0.5000  12 Ga 2.85-3.03
Ga  0.0000  0.5000  0.0000  8 Ga 2.94-3.03, 4 Pa 3.03
Ga  0.0000  0.5000  0.3495  2 Zn 2.85, 8 Ga 2.85-3.17, 2 Pa 3.08
Ga  0.0000  0.5000  0.6505  2 Zn 2.85, 8 Ga 2.85-3.17, 2 Pa 3.08
Ga  0.5000  0.0000  0.0000  8 Ga 2.94-3.03, 4 Pa 3.03
Ga  0.5000  0.0000  0.3495  2 Zn 2.85, 8 Ga 2.85-3.17, 2 Pa 3.08
Ga  0.5000  0.0000  0.6505  2 Zn 2.85, 8 Ga 2.85-3.17, 2 Pa 3.08
Ga  0.5000  0.5000  0.1619  8 Ga 2.94-3.17, 4 Pa 3.03
Ga  0.5000  0.5000  0.5000  8 Ga 2.85, 4 Zn 3.03
Ga  0.5000  0.5000  0.8381  8 Ga 2.94-3.17, 4 Pa 3.03

***

Among the records above, which one has the highest total DFT energy (no corrections)? BaSrAs2